## La2Tm2Sn3 (PBE-GGA)

Data for a relaxed La2Tm2Sn3 crystal.

Results
As for the energy of formation from the pure elements: -0.51 eV per atom. For the magnetic moment, the calculation gives 0.00 μB per atom.

a = 4.654 Å, b = 5.986 Å, c = 8.482 Å
α = 96.55°, β = 105.86°, γ = 90.11°
Atoms (fractional coordinates):
La (0.140, 0.108, 0.281)
La (0.860, 0.892, 0.719)
Tm (0.396, 0.412, 0.792)
Tm (0.604, 0.588, 0.208)
Sn (0.231, 0.667, 0.464)
Sn (0.500, 0.000, 0.000)
Sn (0.769, 0.333, 0.536)

=====

## LaTm3Sn2 (PBE-GGA)

Data for a relaxed LaTm3Sn2 crystal.

Results
As for the energy of formation from the pure elements: -0.49 eV per atom. For the magnetic moment, the calculation gives 0.00 μB per atom.

a = 9.302 Å, b = 9.302 Å, c = 9.371 Å
α = 112.19°, β = 112.19°, γ = 28.80°
Atoms (fractional coordinates):
La (0.115, 0.115, 0.144)
La (0.885, 0.885, 0.856)
Tm (0.058, 0.058, 0.690)
Tm (0.306, 0.306, 0.114)
Tm (0.362, 0.362, 0.517)
Tm (0.638, 0.638, 0.483)
Tm (0.694, 0.694, 0.886)
Tm (0.942, 0.942, 0.310)
Sn (0.239, 0.239, 0.704)
Sn (0.485, 0.485, 0.144)
Sn (0.515, 0.515, 0.856)
Sn (0.761, 0.761, 0.296)

=====

## La5Tm4Sn4 (PBE-GGA)

Data for a relaxed La5Tm4Sn4 crystal.

Results
As for the energy of formation from the pure elements: -0.56 eV per atom. For the magnetic moment, the calculation gives 0.00 μB per atom.

a = 9.703 Å, b = 9.703 Å, c = 9.703 Å
α = 93.31°, β = 93.31°, γ = 152.20°
Atoms (fractional coordinates):
La (0.000, 0.000, 0.000)
La (0.295, 0.378, 0.673)
La (0.378, 0.705, 0.083)
La (0.622, 0.295, 0.917)
La (0.705, 0.622, 0.327)
Tm (0.095, 0.590, 0.686)
Tm (0.410, 0.095, 0.505)
Tm (0.590, 0.905, 0.495)
Tm (0.905, 0.410, 0.314)
Sn (0.073, 0.241, 0.314)
Sn (0.241, 0.927, 0.168)
Sn (0.759, 0.073, 0.832)
Sn (0.927, 0.759, 0.686)

=====

## La3Tm2Sn3 (PBE-GGA)

Data for a relaxed La3Tm2Sn3 crystal.

Results
As for the energy of formation from the pure elements: -0.70 eV per atom. For the magnetic moment, the calculation gives 0.05 μB per atom.

a = 9.284 Å, b = 9.284 Å, c = 6.671 Å
α = 90.00°, β = 90.00°, γ = 120.00°
Atoms (fractional coordinates):
La (0.000, 0.245, 0.250)
La (0.000, 0.755, 0.750)
La (0.245, 0.000, 0.250)
La (0.245, 0.245, 0.750)
La (0.755, 0.000, 0.750)
La (0.755, 0.755, 0.250)
Tm (0.333, 0.667, 0.000)
Tm (0.333, 0.667, 0.500)
Tm (0.667, 0.333, 0.000)
Tm (0.667, 0.333, 0.500)
Sn (0.000, 0.399, 0.750)
Sn (0.000, 0.601, 0.250)
Sn (0.399, 0.000, 0.750)
Sn (0.399, 0.399, 0.250)
Sn (0.601, 0.000, 0.250)
Sn (0.601, 0.601, 0.750)

=====

## LaTm3Sn3 (PBE-GGA)

Data for a relaxed LaTm3Sn3 crystal.

Results
As for the energy of formation from the pure elements: -0.55 eV per atom. For the magnetic moment, the calculation gives 0.00 μB per atom.

a = 9.216 Å, b = 9.216 Å, c = 5.371 Å
α = 90.00°, β = 90.00°, γ = 120.00°
Atoms (fractional coordinates):
La (0.333, 0.667, 0.250)
La (0.667, 0.333, 0.750)
Tm (0.004, 0.768, 0.250)
Tm (0.232, 0.236, 0.250)
Tm (0.236, 0.004, 0.750)
Tm (0.764, 0.996, 0.250)
Tm (0.768, 0.764, 0.750)
Tm (0.996, 0.232, 0.750)
Sn (0.073, 0.629, 0.750)
Sn (0.371, 0.444, 0.750)
Sn (0.444, 0.073, 0.250)
Sn (0.556, 0.927, 0.750)
Sn (0.629, 0.556, 0.250)
Sn (0.927, 0.371, 0.250)

=====

## La5TmSn4 (PBE-GGA)

Data for a relaxed La5TmSn4 crystal.

Results
As for the energy of formation from the pure elements: -0.58 eV per atom. For the magnetic moment, the calculation gives 0.00 μB per atom.

a = 8.896 Å, b = 8.896 Å, c = 7.357 Å
α = 91.27°, β = 91.27°, γ = 35.86°
Atoms (fractional coordinates):
La (0.000, 0.000, 0.000)
La (0.332, 0.332, 0.493)
La (0.335, 0.335, 0.998)
La (0.665, 0.665, 0.002)
La (0.668, 0.668, 0.507)
Tm (0.000, 0.000, 0.500)
Sn (0.171, 0.171, 0.748)
Sn (0.493, 0.493, 0.736)
Sn (0.507, 0.507, 0.264)
Sn (0.829, 0.829, 0.252)

=====

## La2Tm3Sn2 (PBE-GGA)

Data for a relaxed La2Tm3Sn2 crystal.

Results
As for the energy of formation from the pure elements: -0.47 eV per atom. For the magnetic moment, the calculation gives 0.00 μB per atom.

a = 6.581 Å, b = 6.581 Å, c = 8.674 Å
α = 111.28°, β = 111.28°, γ = 39.75°
Atoms (fractional coordinates):
La (0.142, 0.142, 0.304)
La (0.858, 0.858, 0.696)
Tm (0.380, 0.380, 0.056)
Tm (0.500, 0.500, 0.500)
Tm (0.620, 0.620, 0.944)
Sn (0.162, 0.162, 0.718)
Sn (0.838, 0.838, 0.282)

=====

## LaTmSn2 (PBE-GGA)

Data for a relaxed LaTmSn2 crystal.

Results
As for the energy of formation from the pure elements: -0.51 eV per atom. For the magnetic moment, the calculation gives 0.00 μB per atom.

a = 9.650 Å, b = 9.650 Å, c = 9.650 Å
α = 23.03°, β = 23.03°, γ = 23.03°
Atoms (fractional coordinates):
La (0.000, 0.000, 0.000)
Tm (0.500, 0.500, 0.500)
Sn (0.245, 0.245, 0.245)
Sn (0.755, 0.755, 0.755)

=====

## LaTm2Sn (PBE-GGA)

Data for a relaxed LaTm2Sn crystal.

Results
As for the energy of formation from the pure elements: -0.44 eV per atom. For the magnetic moment, the calculation gives 0.15 μB per atom.

a = 11.480 Å, b = 11.480 Å, c = 4.773 Å
α = 90.00°, β = 90.00°, γ = 156.49°
Atoms (fractional coordinates):
La (0.193, 0.807, 0.750)
La (0.807, 0.193, 0.250)
Tm (0.055, 0.945, 0.250)
Tm (0.438, 0.562, 0.250)
Tm (0.562, 0.438, 0.750)
Tm (0.945, 0.055, 0.750)
Sn (0.342, 0.658, 0.750)
Sn (0.658, 0.342, 0.250)

=====

## LaTm2Sn (PBE-GGA)

Data for a relaxed LaTm2Sn crystal.

Results
As for the energy of formation from the pure elements: -0.17 eV per atom. For the magnetic moment, the calculation gives 0.00 μB per atom.

a = 6.356 Å, b = 6.356 Å, c = 6.356 Å
α = 47.93°, β = 47.93°, γ = 47.93°
Atoms (fractional coordinates):
La (0.000, 0.000, 0.000)
Tm (0.551, 0.551, 0.551)
Tm (0.783, 0.783, 0.783)
Sn (0.206, 0.206, 0.206)

=====

## LaTm2Sn (PBE-GGA)

Data for a relaxed LaTm2Sn crystal.

Results
As for the energy of formation from the pure elements: -0.30 eV per atom. For the magnetic moment, the calculation gives 0.00 μB per atom.

a = 3.771 Å, b = 3.771 Å, c = 8.409 Å
α = 90.00°, β = 90.00°, γ = 90.00°
Atoms (fractional coordinates):
La (0.000, 0.000, 0.000)
Tm (0.500, 0.500, 0.289)
Tm (0.500, 0.500, 0.711)
Sn (0.000, 0.000, 0.500)

=====

## La5TmSn6 (PBE-GGA)

Data for a relaxed La5TmSn6 crystal.

Results
As for the energy of formation from the pure elements: -0.71 eV per atom. For the magnetic moment, the calculation gives 0.00 μB per atom.

a = 9.227 Å, b = 9.227 Å, c = 9.227 Å
α = 148.12°, β = 120.72°, γ = 68.91°
Atoms (fractional coordinates):
La (0.000, 0.000, 0.000)
La (0.167, 0.667, 0.500)
La (0.335, 0.335, 0.000)
La (0.665, 0.665, 0.000)
La (0.833, 0.333, 0.500)
Tm (0.500, 0.000, 0.500)
Sn (0.090, 0.837, 0.253)
Sn (0.256, 0.500, 0.756)
Sn (0.416, 0.163, 0.253)
Sn (0.584, 0.837, 0.747)
Sn (0.744, 0.500, 0.244)
Sn (0.910, 0.163, 0.747)

=====

Among the records above, which one has the highest magnetic moment? number 9

=====

Which formula does entry 7 have? La2Tm3Sn2

=====

Which formula does entry 12 have? La5TmSn6